Entry 1:
Nd3Sn2Pd7 | PBE | optimized geometry

Structure (CIF):
```
data_Nd3Sn2Pd7
_space_group_name_H-M_alt 'P 1 2/m 1'
_space_group_IT_number 10
_cell_length_a 4.283
_cell_length_b 4.057
_cell_length_c 15.613
_cell_angle_alpha 90.00
_cell_angle_beta 97.02
_cell_angle_gamma 90.00
loop_
_space_group_symop_operation_xyz
'x,y,z'
'-x,-y,-z'
'-x,y,-z'
'x,-y,z'
loop_
_atom_site_label
_atom_site_type_symbol
_atom_site_fract_x
_atom_site_fract_y
_atom_site_fract_z
Nd1 Nd 0.000 0.000 0.000
Nd2 Nd 0.206 0.000 0.408
Sn1 Sn 0.401 0.500 0.833
Pd1 Pd 0.145 0.500 0.272
Pd2 Pd 0.287 0.500 0.575
Pd3 Pd 0.351 0.000 0.720
Pd4 Pd 0.500 0.500 0.000
```

Calculated values
* crystal system: monoclinic
* ΔE to the lowest computed polymorph: 68 meV per atom

Entry 2:
Nd2SnPd3 | PBE | optimized geometry

Structure (CIF):
```
data_Nd2SnPd3
_space_group_name_H-M_alt 'P 63/m m c'
_space_group_IT_number 194
_space_group_name_Hall '-P 6c 2c'
_cell_length_a 4.6628
_cell_length_b 4.6628
_cell_length_c 14.6246
_cell_angle_alpha 90.00
_cell_angle_beta 90.00
_cell_angle_gamma 120.00
loop_
_atom_site_label
_atom_site_type_symbol
_atom_site_fract_x
_atom_site_fract_y
_atom_site_fract_z
Nd1 Nd 0.0000 0.0000 0.1193
Sn1 Sn 0.3333 0.6667 0.2500
Pd1 Pd 0.3333 0.6667 0.0151
Pd2 Pd 0.3333 0.6667 0.7500
```

Calculated values
* crystal system: hexagonal
* calculated total energy: -5.605 eV/atom

Entry 3:
Nd12Sn6Pd | PBE | optimized geometry

Structure (CIF):
```
data_Nd12Sn6Pd
_space_group_name_H-M_alt 'R -3'
_space_group_IT_number 148
_space_group_name_Hall '-R 3'
_cell_length_a 13.6214
_cell_length_b 13.6214
_cell_length_c 12.6631
_cell_angle_alpha 90.00
_cell_angle_beta 90.00
_cell_angle_gamma 120.00
loop_
_atom_site_label
_atom_site_type_symbol
_atom_site_fract_x
_atom_site_fract_y
_atom_site_fract_z
Nd1 Nd 0.0320 0.8307 0.3941
Nd2 Nd 0.0625 0.8602 0.8810
Sn1 Sn 0.0470 0.7665 0.6433
Pd1 Pd 0.0000 0.0000 0.0000
```

Calculated values
* crystal system: trigonal
* calculated total energy: -4.964 eV/atom

Entry 4:
Nd2SnPd3 | PBE | optimized geometry

Structure (CIF):
```
data_Nd2SnPd3
_space_group_name_H-M_alt 'F m m m'
_space_group_IT_number 69
_space_group_name_Hall '-F 2 2'
_cell_length_a 7.345
_cell_length_b 9.259
_cell_length_c 16.235
_cell_angle_alpha 90.00
_cell_angle_beta 90.00
_cell_angle_gamma 90.00
loop_
_atom_site_label
_atom_site_type_symbol
_atom_site_fract_x
_atom_site_fract_y
_atom_site_fract_z
Nd1 Nd 0.243 0.000 0.000
Nd2 Nd 0.250 0.250 0.250
Sn1 Sn 0.000 0.000 0.333
Pd1 Pd 0.000 0.000 0.169
Pd2 Pd 0.000 0.246 0.417
```

Calculated values
* crystal system: orthorhombic
* calculated total energy: -5.580 eV/atom

Entry 5:
Nd3Sn3Pd | PBE | optimized geometry

Structure (CIF):
```
data_Nd3Sn3Pd
_space_group_name_H-M_alt 'C 1 2/m 1'
_space_group_IT_number 12
_cell_length_a 11.506
_cell_length_b 4.653
_cell_length_c 15.267
_cell_angle_alpha 90.00
_cell_angle_beta 109.50
_cell_angle_gamma 90.00
loop_
_space_group_symop_operation_xyz
'x,y,z'
'-x,-y,-z'
'-x,y,-z'
'x,-y,z'
'x+1/2,y+1/2,z'
'-x+1/2,-y+1/2,-z'
'-x+1/2,y+1/2,-z'
'x+1/2,-y+1/2,z'
loop_
_atom_site_label
_atom_site_type_symbol
_atom_site_fract_x
_atom_site_fract_y
_atom_site_fract_z
Nd1 Nd 0.031 0.000 0.382
Nd2 Nd 0.097 0.000 0.921
Nd3 Nd 0.241 0.000 0.231
Sn1 Sn 0.030 0.500 0.236
Sn2 Sn 0.127 0.500 0.076
Sn3 Sn 0.140 0.500 0.543
Pd1 Pd 0.241 0.500 0.392
```

Calculated values
* crystal system: monoclinic
* calculated total energy: -5.327 eV/atom

Entry 6:
NdSn2Pd3 | PBE | optimized geometry

Structure (CIF):
```
data_NdSn2Pd3
_space_group_name_H-M_alt 'C 1 2/m 1'
_space_group_IT_number 12
_cell_length_a 17.817
_cell_length_b 4.345
_cell_length_c 10.409
_cell_angle_alpha 90.00
_cell_angle_beta 109.17
_cell_angle_gamma 90.00
loop_
_space_group_symop_operation_xyz
'x,y,z'
'-x,-y,-z'
'-x,y,-z'
'x,-y,z'
'x+1/2,y+1/2,z'
'-x+1/2,-y+1/2,-z'
'-x+1/2,y+1/2,-z'
'x+1/2,-y+1/2,z'
loop_
_atom_site_label
_atom_site_type_symbol
_atom_site_fract_x
_atom_site_fract_y
_atom_site_fract_z
Nd1 Nd 0.000 0.000 0.000
Nd2 Nd 0.155 0.000 0.702
Sn1 Sn 0.038 0.500 0.785
Sn2 Sn 0.138 0.500 0.455
Sn3 Sn 0.196 0.000 0.129
Pd1 Pd 0.000 0.500 0.500
Pd2 Pd 0.041 0.000 0.341
Pd3 Pd 0.116 0.500 0.188
Pd4 Pd 0.183 0.500 0.967
Pd5 Pd 0.212 0.000 0.392
```

Calculated values
* crystal system: monoclinic
* calculated total energy: -5.448 eV/atom